Entry from the Alexandria database: a relaxed structure of DyFe4Ge2 (PBE-GGA).

Lattice parameters (Å, degrees): 7.2223 7.2223 3.8608 90.00 90.00 90.00
Last column: nearest neighbours and their distance in Å.
Atoms (fractional coordinates):
Dy (0.5000, 0.5000, 0.0000)  6 Ge 2.90-2.93, 4 Fe 3.13
Dy (0.0000, 0.0000, 0.5000)  6 Ge 2.90-2.93, 4 Fe 3.13
Fe (0.4094, 0.8562, 0.5000)  3 Ge 2.43-2.44, 6 Fe 2.45-2.71
Fe (0.6438, 0.9094, 0.0000)  3 Ge 2.43-2.44, 6 Fe 2.45-2.71
Fe (0.0906, 0.3562, 0.0000)  3 Ge 2.43-2.44, 6 Fe 2.45-2.71
Fe (0.1438, 0.5906, 0.5000)  3 Ge 2.43-2.44, 6 Fe 2.45-2.71
Fe (0.8562, 0.4094, 0.5000)  3 Ge 2.43-2.44, 6 Fe 2.45-2.71
Fe (0.3562, 0.0906, 0.0000)  3 Ge 2.43-2.44, 6 Fe 2.45-2.71
Fe (0.5906, 0.1438, 0.5000)  3 Ge 2.43-2.44, 6 Fe 2.45-2.71
Fe (0.9094, 0.6438, 0.0000)  3 Ge 2.43-2.44, 6 Fe 2.45-2.71
Ge (0.7158, 0.7158, 0.5000)  6 Fe 2.43-2.44
Ge (0.2842, 0.2842, 0.5000)  6 Fe 2.43-2.44
Ge (0.2158, 0.7842, 0.0000)  6 Fe 2.43-2.44
Ge (0.7842, 0.2158, 0.0000)  6 Fe 2.43-2.44

Values from the calculation:
As for the space group: P4_2/mnm, No. 136. The total energy comes out at -7.1074 eV per atom. Its total magnetization is 12.5 μB/cell. For the offset from the most stable computed form, the calculation gives 0 meV per atom. The value obtained for the calculated formation energy is -0.295 eV/atom.